First-principles (PBE with a Hubbard U) data for Fe6O7F5 after structural relaxation, as listed in the Alexandria database.

Magnetization in μB/atom: 1.387
Relative energy among the computed polymorphs in meV/atom: 136.1
VASP energy in eV/atom: -5.94

abc: 4.6739 5.5956 7.7298
angles: 85.05 87.17 86.85
Closest atoms and distances in Å follow each position.
Fractional coordinates of all 18 atoms:
Fe1 0.0000 0.0000 0.0000  5 O 1.94-2.09, 1 F 2.10
Fe2 0.0026 0.3432 0.6543  3 O 1.91-1.96, 2 F 2.03-2.13
Fe3 0.4654 0.1653 0.3130  3 O 1.93-1.96, 2 F 1.99-2.05
Fe4 0.4764 0.5244 0.0064  3 O 1.88-1.97, 3 F 2.01-2.06
Fe5 0.5226 0.8489 0.6810  3 O 1.92-1.99, 3 F 2.00-2.11
Fe6 0.9896 0.6745 0.3375  4 O 1.92-1.96
O1 0.1885 0.0508 0.7651  3 Fe 1.96-1.99
O2 0.1914 0.3802 0.4295  3 Fe 1.91-1.95
O3 0.1925 0.7178 0.1143  3 Fe 1.88-1.94
O4 0.2916 0.2250 0.0911  3 Fe 1.93-2.09
O5 0.6905 0.8002 0.9036  3 Fe 1.92-2.08
O6 0.7939 0.9663 0.2312  3 Fe 1.96-1.99
O7 0.8022 0.6358 0.5643  3 Fe 1.92-1.96
F1 0.2977 0.5523 0.7716  3 Fe 2.03-2.14
F2 0.3065 0.8785 0.4460  3 Fe 1.99-2.16
F3 0.6840 0.1409 0.5544  3 Fe 2.00-2.16
F4 0.6936 0.4573 0.2247  3 Fe 2.01-2.15
F5 0.7864 0.3111 0.8884  3 Fe 2.03-2.10


First-principles (PBE with a Hubbard U) data for Fe5O2F8 after structural relaxation, as listed in the Alexandria database.

Magnetization in μB/atom: 1.266
Relative energy among the computed polymorphs in meV/atom: 127.8
VASP energy in eV/atom: -5.60

abc: 4.8020 5.7988 13.3863
angles: 100.99 90.74 90.31
Closest atoms and distances in Å follow each position.
Fractional coordinates of all 30 atoms:
Fe1 0.0000 0.0000 0.0000  1 O 1.98, 5 F 2.12-2.19
Fe2 0.0013 0.8195 0.3821  1 O 2.02, 5 F 2.03-2.13
Fe3 0.0090 0.4406 0.1937  1 O 1.88, 4 F 1.96-2.01
Fe4 0.4606 0.9080 0.1880  2 O 1.84-1.93, 1 F 1.99
Fe5 0.4802 0.5249 0.9885  4 F 2.03-2.14, 1 O 2.08
Fe6 0.4960 0.3217 0.3949  1 O 1.98, 5 F 2.05-2.17
Fe7 0.5060 0.0862 0.7847  1 O 1.89, 4 F 1.98-2.03
Fe8 0.5306 0.6858 0.5896  2 O 1.85-1.96, 3 F 2.03-2.05
Fe9 0.9781 0.2197 0.5842  1 O 1.98, 5 F 2.11-2.18
Fe10 0.9836 0.6197 0.7851  1 O 2.04, 5 F 2.10-2.17
O1 0.1918 0.7268 0.2473  3 Fe 1.88-2.02
O2 0.3064 0.8402 0.0591  2 Fe 1.84-1.98
O3 0.6825 0.8032 0.7263  3 Fe 1.89-2.04
O4 0.6831 0.4009 0.5295  3 Fe 1.85-1.98
F1 0.1813 0.3430 0.0562  3 Fe 2.01-2.16
F2 0.1822 0.1317 0.4438  3 Fe 2.03-2.11
F3 0.2003 0.5392 0.6481  3 Fe 2.03-2.16
F4 0.2032 0.9365 0.8521  3 Fe 2.00-2.19
F5 0.2821 0.2489 0.2541  3 Fe 1.98-2.19
F6 0.2906 0.0373 0.6516  2 Fe 2.02-2.13
F7 0.2971 0.6488 0.4579  3 Fe 2.05-2.16
F8 0.2979 0.4053 0.8407  3 Fe 2.12-2.17
F9 0.6660 0.9880 0.3199  3 Fe 1.99-2.17
F10 0.6881 0.1749 0.9249  2 Fe 2.03-2.16
F11 0.7024 0.5864 0.1311  2 Fe 1.96-2.14
F12 0.7851 0.2867 0.7334  3 Fe 1.98-2.18
F13 0.7870 0.1211 0.1413  3 Fe 2.13-2.16
F14 0.7886 0.8866 0.5206  3 Fe 2.04-2.15
F15 0.8010 0.4954 0.3247  3 Fe 2.00-2.11
F16 0.8057 0.6785 0.9307  3 Fe 2.03-2.12


First-principles (PBE with a Hubbard U) data for FeOF after structural relaxation, as listed in the Alexandria database.

Magnetization in μB/atom: 1.666
VASP energy in eV/atom: -6.03

abc: 6.6725 6.6725 3.0921
angles: 90.00 90.00 90.00
Closest atoms and distances in Å follow each position.
Fractional coordinates of all 12 atoms:
Fe1 0.2257 0.7606 0.0000  3 O 1.94-1.95, 3 F 2.13
Fe2 0.2394 0.2257 0.5000  3 O 1.94-1.95, 3 F 2.13
Fe3 0.7606 0.7743 0.5000  3 O 1.94-1.95, 3 F 2.13
Fe4 0.7743 0.2394 0.0000  3 O 1.94-1.95, 3 F 2.13
O1 0.0512 0.7394 0.5000  3 Fe 1.94-1.95
O2 0.2606 0.0512 0.0000  3 Fe 1.94-1.95
O3 0.7394 0.9488 0.0000  3 Fe 1.94-1.95
O4 0.9488 0.2606 0.5000  3 Fe 1.94-1.95
F1 0.2633 0.4436 0.0000  3 Fe 2.13
F2 0.4436 0.7367 0.5000  3 Fe 2.13
F3 0.5564 0.2633 0.5000  3 Fe 2.13
F4 0.7367 0.5564 0.0000  3 Fe 2.13


What is the formula in the first record?
Fe6O7F5